[1]
# Ni2IrPt, relaxed, DFT GGA-PBE
# Magnetization, μB per cell: 2.610
# V, A^3/atom: 13.6
# Uncorrected energy, eV per atom: -6.4178
# ΔE to the lowest computed polymorph, meV/atom: 238
data_Ni2IrPt
_chemical_formula_sum 'Ni4 Ir2 Pt2'
_symmetry_space_group_name_H-M 'C m m 2'
_symmetry_Int_Tables_number 35
_symmetry_space_group_name_Hall 'C 2 -2'
_cell_length_a 2.6778
_cell_length_b 4.5785
_cell_length_c 8.8794
_cell_angle_alpha 90.00
_cell_angle_beta 90.00
_cell_angle_gamma 90.00
loop_
_atom_site_label
_atom_site_type_symbol
_atom_site_fract_x
_atom_site_fract_y
_atom_site_fract_z
Ni1 Ni 0.0000 0.0000 0.0000
Ni2 Ni 0.0000 0.5000 0.2268
Ir1 Ir 0.0000 0.0000 0.4687
Pt1 Pt 0.0000 0.5000 0.7484


[2]
# Ni6Ir2Pt, relaxed, DFT GGA-PBE
# Magnetization, μB per cell: 18.964
# V, A^3/atom: 12.5
# Uncorrected energy, eV per atom: -6.4184
data_Ni6Ir2Pt
_chemical_formula_sum 'Ni18 Ir6 Pt3'
_symmetry_space_group_name_H-M 'R -3 m'
_symmetry_Int_Tables_number 166
_symmetry_space_group_name_Hall '-R 3 2"'
_cell_length_a 7.0922
_cell_length_b 7.0922
_cell_length_c 7.7411
_cell_angle_alpha 90.00
_cell_angle_beta 90.00
_cell_angle_gamma 120.00
loop_
_atom_site_label
_atom_site_type_symbol
_atom_site_fract_x
_atom_site_fract_y
_atom_site_fract_z
Ni1 Ni 0.0000 0.3327 0.0000
Ir1 Ir 0.0000 0.0000 0.1636
Pt1 Pt 0.0000 0.0000 0.5000


[3]
# Ni2IrPt6, relaxed, DFT GGA-PBE
# Magnetization, μB per cell: 0.006
# V, A^3/atom: 14.8
# Uncorrected energy, eV per atom: -6.2474
# ΔE to the lowest computed polymorph, meV/atom: 0
data_Ni2IrPt6
_chemical_formula_sum 'Ni4 Ir2 Pt12'
_symmetry_space_group_name_H-M 'C 1 2/m 1'
_symmetry_Int_Tables_number 12
_symmetry_space_group_name_Hall '-C 2y'
_cell_length_a 12.3779
_cell_length_b 4.6864
_cell_length_c 4.6847
_cell_angle_alpha 90.00
_cell_angle_beta 101.11
_cell_angle_gamma 90.00
loop_
_atom_site_label
_atom_site_type_symbol
_atom_site_fract_x
_atom_site_fract_y
_atom_site_fract_z
Ni1 Ni 0.1676 0.0000 0.3294
Ir1 Ir 0.0000 0.5000 0.0000
Pt1 Pt 0.0540 0.0000 0.7799
Pt2 Pt 0.1143 0.5000 0.5552
Pt3 Pt 0.2243 0.5000 0.1219


[4]
# Ni2IrPt, relaxed, DFT GGA-PBE
# Magnetization, μB per cell: 3.700
# V, A^3/atom: 13.2
# Uncorrected energy, eV per atom: -6.6431
# ΔE to the lowest computed polymorph, meV/atom: 13
data_Ni2IrPt
_chemical_formula_sum 'Ni6 Ir3 Pt3'
_symmetry_space_group_name_H-M 'R -3 m'
_symmetry_Int_Tables_number 166
_symmetry_space_group_name_Hall '-R 3 2"'
_cell_length_a 2.6964
_cell_length_b 2.6964
_cell_length_c 25.2489
_cell_angle_alpha 90.00
_cell_angle_beta 90.00
_cell_angle_gamma 120.00
loop_
_atom_site_label
_atom_site_type_symbol
_atom_site_fract_x
_atom_site_fract_y
_atom_site_fract_z
Ni1 Ni 0.0000 0.0000 0.2481
Ir1 Ir 0.0000 0.0000 0.5000
Pt1 Pt 0.0000 0.0000 0.0000


[5]
# Ni2IrPt, relaxed, DFT GGA-PBE
# Magnetization, μB per cell: 1.345
# V, A^3/atom: 13.1
# Uncorrected energy, eV per atom: -6.6227
# ΔE to the lowest computed polymorph, meV/atom: 33
data_Ni2IrPt
_chemical_formula_sum 'Ni4 Ir2 Pt2'
_symmetry_space_group_name_H-M 'I -4 m 2'
_symmetry_Int_Tables_number 119
_symmetry_space_group_name_Hall 'I -4 -2'
_cell_length_a 3.7131
_cell_length_b 3.7131
_cell_length_c 7.5836
_cell_angle_alpha 90.00
_cell_angle_beta 90.00
_cell_angle_gamma 90.00
loop_
_atom_site_label
_atom_site_type_symbol
_atom_site_fract_x
_atom_site_fract_y
_atom_site_fract_z
Ni1 Ni 0.0000 0.0000 0.0000
Ni2 Ni 0.0000 0.5000 0.2500
Ir1 Ir 0.0000 0.0000 0.5000
Pt1 Pt 0.0000 0.5000 0.7500


[6]
# Ni2IrPt, relaxed, DFT GGA-PBE
# Magnetization, μB per cell: 3.986
# V, A^3/atom: 13.3
# Uncorrected energy, eV per atom: -6.6209
# ΔE to the lowest computed polymorph, meV/atom: 35
data_Ni2IrPt
_chemical_formula_sum 'Ni4 Ir2 Pt2'
_symmetry_space_group_name_H-M 'C 1 2/m 1'
_symmetry_Int_Tables_number 12
_symmetry_space_group_name_Hall '-C 2y'
_cell_length_a 8.6160
_cell_length_b 2.6877
_cell_length_c 4.6733
_cell_angle_alpha 90.00
_cell_angle_beta 100.21
_cell_angle_gamma 90.00
loop_
_atom_site_label
_atom_site_type_symbol
_atom_site_fract_x
_atom_site_fract_y
_atom_site_fract_z
Ni1 Ni 0.2476 0.0000 0.2369
Ir1 Ir 0.0000 0.5000 0.0000
Pt1 Pt 0.0000 0.0000 0.5000


[7]
# NiIr2Pt2Rh4, relaxed, DFT GGA-PBE
# Magnetization, μB per cell: 0.005
# V, A^3/atom: 14.3
# Uncorrected energy, eV per atom: -7.2203
data_NiIr2Pt2Rh4
_chemical_formula_sum 'Ni2 Ir4 Pt4 Rh8'
_symmetry_space_group_name_H-M 'C 1 2/m 1'
_symmetry_Int_Tables_number 12
_symmetry_space_group_name_Hall '-C 2y'
_cell_length_a 11.5696
_cell_length_b 3.8498
_cell_length_c 6.1010
_cell_angle_alpha 90.00
_cell_angle_beta 108.51
_cell_angle_gamma 90.00
loop_
_atom_site_label
_atom_site_type_symbol
_atom_site_fract_x
_atom_site_fract_y
_atom_site_fract_z
Ni1 Ni 0.0000 0.0000 0.0000
Ir1 Ir 0.1664 0.5000 0.9972
Pt1 Pt 0.1111 0.0000 0.6688
Rh1 Rh 0.0559 0.5000 0.3220
Rh2 Rh 0.2186 0.0000 0.3254


[8]
# Ni2IrPtRh4, relaxed, DFT GGA-PBE
# Magnetization, μB per cell: 1.753
# V, A^3/atom: 13.7
# Uncorrected energy, eV per atom: -6.9878
data_Ni2IrPtRh4
_chemical_formula_sum 'Ni2 Ir1 Pt1 Rh4'
_symmetry_space_group_name_H-M 'P 4/m m m'
_symmetry_Int_Tables_number 123
_symmetry_space_group_name_Hall '-P 4 2'
_cell_length_a 3.7950
_cell_length_b 3.7950
_cell_length_c 7.6131
_cell_angle_alpha 90.00
_cell_angle_beta 90.00
_cell_angle_gamma 90.00
loop_
_atom_site_label
_atom_site_type_symbol
_atom_site_fract_x
_atom_site_fract_y
_atom_site_fract_z
Ni1 Ni 0.0000 0.0000 0.0000
Ni2 Ni 0.5000 0.5000 0.5000
Ir1 Ir 0.0000 0.0000 0.5000
Pt1 Pt 0.5000 0.5000 0.0000
Rh1 Rh 0.0000 0.5000 0.2534


[9]
# Ni2IrPt2Rh4, relaxed, DFT GGA-PBE
# Magnetization, μB per cell: 1.164
# V, A^3/atom: 14.0
# Uncorrected energy, eV per atom: -6.8724
data_Ni2IrPt2Rh4
_chemical_formula_sum 'Ni4 Ir2 Pt4 Rh8'
_symmetry_space_group_name_H-M 'C 1 2/m 1'
_symmetry_Int_Tables_number 12
_symmetry_space_group_name_Hall '-C 2y'
_cell_length_a 11.4671
_cell_length_b 3.8200
_cell_length_c 6.0257
_cell_angle_alpha 90.00
_cell_angle_beta 107.89
_cell_angle_gamma 90.00
loop_
_atom_site_label
_atom_site_type_symbol
_atom_site_fract_x
_atom_site_fract_y
_atom_site_fract_z
Ni1 Ni 0.1073 0.0000 0.1646
Ir1 Ir 0.0000 0.0000 0.5000
Pt1 Pt 0.1668 0.5000 0.4990
Rh1 Rh 0.0542 0.5000 0.8369
Rh2 Rh 0.2218 0.0000 0.8428


[10]
# Ni2IrPtSe6, relaxed, DFT GGA-PBE
# Energy relative to the elements, uncorrected, kcal/mol of atoms: -5.59
# Magnetization, μB per cell: 0.002
# V, A^3/atom: 20.2
# Uncorrected energy, eV per atom: -4.9797
data_Ni2IrPtSe6
_chemical_formula_sum 'Ni8 Ir4 Pt4 Se24'
_symmetry_space_group_name_H-M 'C 1 2/c 1'
_symmetry_Int_Tables_number 15
_symmetry_space_group_name_Hall '-C 2yc'
_cell_length_a 11.7669
_cell_length_b 10.9176
_cell_length_c 6.4681
_cell_angle_alpha 90.00
_cell_angle_beta 103.73
_cell_angle_gamma 90.00
loop_
_atom_site_label
_atom_site_type_symbol
_atom_site_fract_x
_atom_site_fract_y
_atom_site_fract_z
Ni1 Ni 0.1852 0.0914 0.3203
Ir1 Ir 0.0000 0.4098 0.2500
Pt1 Pt 0.0000 0.2360 0.7500
Se1 Se 0.1075 0.0681 0.6028
Se2 Se 0.1114 0.4131 0.6297
Se3 Se 0.1312 0.2675 0.1245


[11]
# Sm2Ni3IrPt12, relaxed, DFT GGA-PBE
# Magnetization, μB per cell: 9.685
# V, A^3/atom: 19.0
# Uncorrected energy, eV per atom: -6.0292
data_Sm2Ni3IrPt12
_chemical_formula_sum 'Sm6 Ni9 Ir3 Pt36'
_symmetry_space_group_name_H-M 'R -3 m'
_symmetry_Int_Tables_number 166
_symmetry_space_group_name_Hall '-R 3 2"'
_cell_length_a 6.7954
_cell_length_b 6.7954
_cell_length_c 25.6552
_cell_angle_alpha 90.00
_cell_angle_beta 90.00
_cell_angle_gamma 120.00
loop_
_atom_site_label
_atom_site_type_symbol
_atom_site_fract_x
_atom_site_fract_y
_atom_site_fract_z
Sm1 Sm 0.0000 0.0000 0.1566
Ni1 Ni 0.0000 0.5000 0.0000
Ir1 Ir 0.0000 0.0000 0.5000
Pt1 Pt 0.0319 0.5160 0.0977
Pt2 Pt 0.0669 0.5335 0.6203


[12]
# TaNiIrPt, relaxed, DFT GGA-PBE
# Magnetization, μB per cell: 0.000
# V, A^3/atom: 14.7
# Uncorrected energy, eV per atom: -8.7129
data_TaNiIrPt
_chemical_formula_sum 'Ta2 Ni2 Ir2 Pt2'
_symmetry_space_group_name_H-M 'I -4 m 2'
_symmetry_Int_Tables_number 119
_symmetry_space_group_name_Hall 'I -4 -2'
_cell_length_a 3.9165
_cell_length_b 3.9165
_cell_length_c 7.6559
_cell_angle_alpha 90.00
_cell_angle_beta 90.00
_cell_angle_gamma 90.00
loop_
_atom_site_label
_atom_site_type_symbol
_atom_site_fract_x
_atom_site_fract_y
_atom_site_fract_z
Ta1 Ta 0.0000 0.0000 0.0000
Ni1 Ni 0.0000 0.0000 0.5000
Ir1 Ir 0.0000 0.5000 0.7500
Pt1 Pt 0.0000 0.5000 0.2500


[13]
# Ta2Ni7IrPt2, relaxed, DFT GGA-PBE
# Magnetization, μB per cell: 4.052
# V, A^3/atom: 13.9
# Uncorrected energy, eV per atom: -7.1331
data_Ta2Ni7IrPt2
_chemical_formula_sum 'Ta4 Ni14 Ir2 Pt4'
_symmetry_space_group_name_H-M 'C 1 2/m 1'
_symmetry_Int_Tables_number 12
_symmetry_space_group_name_Hall '-C 2y'
_cell_length_a 4.8530
_cell_length_b 4.8530
_cell_length_c 14.3221
_cell_angle_alpha 90.00
_cell_angle_beta 99.63
_cell_angle_gamma 90.00
loop_
_atom_site_label
_atom_site_type_symbol
_atom_site_fract_x
_atom_site_fract_y
_atom_site_fract_z
Ta1 Ta 0.1366 0.0000 0.2756
Ni1 Ni 0.0000 0.0000 0.0000
Ni2 Ni 0.1833 0.2500 0.8637
Ni3 Ni 0.2276 0.0000 0.4571
Ir1 Ir 0.0000 0.5000 0.0000
Pt1 Pt 0.1797 0.5000 0.3623


[14]
# TcNiIrPt, relaxed, DFT GGA-PBE
# Magnetization, μB per cell: 0.351
# V, A^3/atom: 13.9
# Uncorrected energy, eV per atom: -7.9062
data_TcNiIrPt
_chemical_formula_sum 'Tc1 Ni1 Ir1 Pt1'
_symmetry_space_group_name_H-M 'P 4 m m'
_symmetry_Int_Tables_number 99
_symmetry_space_group_name_Hall 'P 4 -2'
_cell_length_a 2.7207
_cell_length_b 2.7207
_cell_length_c 7.5342
_cell_angle_alpha 90.00
_cell_angle_beta 90.00
_cell_angle_gamma 90.00
loop_
_atom_site_label
_atom_site_type_symbol
_atom_site_fract_x
_atom_site_fract_y
_atom_site_fract_z
Tc1 Tc 0.0000 0.0000 0.0000
Ni1 Ni 0.0000 0.0000 0.4878
Ir1 Ir 0.5000 0.5000 0.2460
Pt1 Pt 0.5000 0.5000 0.7357


[15]
# TiNiIrPt, relaxed, DFT GGA-PBE
# Magnetization, μB per cell: 0.000
# V, A^3/atom: 14.0
# Uncorrected energy, eV per atom: -7.8506
data_TiNiIrPt
_chemical_formula_sum 'Ti1 Ni1 Ir1 Pt1'
_symmetry_space_group_name_H-M 'P m m m'
_symmetry_Int_Tables_number 47
_symmetry_space_group_name_Hall '-P 2 2'
_cell_length_a 3.7054
_cell_length_b 3.8386
_cell_length_c 3.9305
_cell_angle_alpha 90.00
_cell_angle_beta 90.00
_cell_angle_gamma 90.00
loop_
_atom_site_label
_atom_site_type_symbol
_atom_site_fract_x
_atom_site_fract_y
_atom_site_fract_z
Ti1 Ti 0.0000 0.0000 0.0000
Ni1 Ni 0.0000 0.5000 0.5000
Ir1 Ir 0.5000 0.5000 0.0000
Pt1 Pt 0.5000 0.0000 0.5000


[16]
# UNiIrPt, relaxed, DFT GGA-PBE
# Magnetization, μB per cell: 2.978
# V, A^3/atom: 17.3
# Uncorrected energy, eV per atom: -8.2944
data_UNiIrPt
_chemical_formula_sum 'U3 Ni3 Ir3 Pt3'
_symmetry_space_group_name_H-M 'R 3 m'
_symmetry_Int_Tables_number 160
_symmetry_space_group_name_Hall 'R 3 -2"'
_cell_length_a 4.3569
_cell_length_b 4.3569
_cell_length_c 12.6376
_cell_angle_alpha 90.00
_cell_angle_beta 90.00
_cell_angle_gamma 120.00
loop_
_atom_site_label
_atom_site_type_symbol
_atom_site_fract_x
_atom_site_fract_y
_atom_site_fract_z
U1 U 0.0000 0.0000 0.0000
Ni1 Ni 0.0000 0.0000 0.2061
Ir1 Ir 0.0000 0.0000 0.7758
Pt1 Pt 0.0000 0.0000 0.5382


[17]
# ZnNiIr2Pt, relaxed, DFT GGA-PBE
# Magnetization, μB per cell: 1.517
# V, A^3/atom: 17.0
# Uncorrected energy, eV per atom: -4.7851
data_ZnNiIr2Pt
_chemical_formula_sum 'Zn1 Ni1 Ir2 Pt1'
_symmetry_space_group_name_H-M 'P 4/m m m'
_symmetry_Int_Tables_number 123
_symmetry_space_group_name_Hall '-P 4 2'
_cell_length_a 4.5049
_cell_length_b 4.5049
_cell_length_c 4.1946
_cell_angle_alpha 90.00
_cell_angle_beta 90.00
_cell_angle_gamma 90.00
loop_
_atom_site_label
_atom_site_type_symbol
_atom_site_fract_x
_atom_site_fract_y
_atom_site_fract_z
Zn1 Zn 0.0000 0.0000 0.0000
Ni1 Ni 0.0000 0.0000 0.5000
Ir1 Ir 0.0000 0.5000 0.0000
Pt1 Pt 0.5000 0.5000 0.5000


[18]
# Zr2NiIrPt, relaxed, DFT GGA-PBE
# Magnetization, μB per cell: 0.000
# V, A^3/atom: 19.5
# Uncorrected energy, eV per atom: -7.2871
data_Zr2NiIrPt
_chemical_formula_sum 'Zr2 Ni1 Ir1 Pt1'
_symmetry_space_group_name_H-M 'P 4/m m m'
_symmetry_Int_Tables_number 123
_symmetry_space_group_name_Hall '-P 4 2'
_cell_length_a 4.6514
_cell_length_b 4.6514
_cell_length_c 4.5086
_cell_angle_alpha 90.00
_cell_angle_beta 90.00
_cell_angle_gamma 90.00
loop_
_atom_site_label
_atom_site_type_symbol
_atom_site_fract_x
_atom_site_fract_y
_atom_site_fract_z
Zr1 Zr 0.0000 0.5000 0.0000
Ni1 Ni 0.0000 0.0000 0.0000
Ir1 Ir 0.5000 0.5000 0.5000
Pt1 Pt 0.0000 0.0000 0.5000


[19]
# PuNi4Ir, relaxed, DFT GGA-PBE
# Magnetization, μB per cell: 6.028
# V, A^3/atom: 14.7
# Uncorrected energy, eV per atom: -7.7020
# ΔE to the lowest computed polymorph, meV/atom: 172
data_PuNi4Ir
_chemical_formula_sum 'Pu2 Ni8 Ir2'
_symmetry_space_group_name_H-M 'P m m a'
_symmetry_Int_Tables_number 51
_symmetry_space_group_name_Hall '-P 2a 2a'
_cell_length_a 7.1649
_cell_length_b 3.8131
_cell_length_c 6.4574
_cell_angle_alpha 90.00
_cell_angle_beta 90.00
_cell_angle_gamma 90.00
loop_
_atom_site_label
_atom_site_type_symbol
_atom_site_fract_x
_atom_site_fract_y
_atom_site_fract_z
Pu1 Pu 0.2500 0.0000 0.1413
Ni1 Ni 0.0000 0.0000 0.5000
Ni2 Ni 0.0259 0.5000 0.7759
Ni3 Ni 0.2500 0.5000 0.4745
Ir1 Ir 0.2500 0.0000 0.7549


[20]
# PuNi5Ir2, relaxed, DFT GGA-PBE
# Magnetization, μB per cell: 2.381
# V, A^3/atom: 14.6
# Uncorrected energy, eV per atom: -7.6040
data_PuNi5Ir2
_chemical_formula_sum 'Pu2 Ni10 Ir4'
_symmetry_space_group_name_H-M 'I m m m'
_symmetry_Int_Tables_number 71
_symmetry_space_group_name_Hall '-I 2 2'
_cell_length_a 3.6306
_cell_length_b 7.2304
_cell_length_c 8.9100
_cell_angle_alpha 90.00
_cell_angle_beta 90.00
_cell_angle_gamma 90.00
loop_
_atom_site_label
_atom_site_type_symbol
_atom_site_fract_x
_atom_site_fract_y
_atom_site_fract_z
Pu1 Pu 0.0000 0.0000 0.0000
Ni1 Ni 0.0000 0.1744 0.3598
Ni2 Ni 0.0000 0.5000 0.0000
Ir1 Ir 0.0000 0.5000 0.2785